(1)
VASP calculation (PBE-GGA) on crystalline TcRhSe at its relaxed geometry.

Cell: 2.952 2.952 10.624 Å, 90.00 90.00 90.00°
Fractional positions:
Tc: 0.000 0.000 0.000
Tc: 0.500 0.500 0.500
Rh: 0.000 0.000 0.338
Rh: 0.500 0.500 0.838
Se: 0.000 0.000 0.649
Se: 0.500 0.500 0.149

Values from the calculation:
ΔE to the lowest computed polymorph, eV/f.u.: 0.21
Total energy, eV for the cell shown: -41.7


(2)
VASP calculation (PBE-GGA) on crystalline Pr3NdDy2 at its relaxed geometry.

Cell: 3.521 6.043 19.808 Å, 90.00 90.00 90.00°
Fractional positions:
Pr: 0.000 0.000 0.000
Pr: 0.000 0.500 0.190
Pr: 0.000 0.500 0.810
Pr: 0.500 0.000 0.310
Pr: 0.500 0.000 0.690
Pr: 0.500 0.500 0.500
Nd: 0.000 0.500 0.000
Nd: 0.500 0.000 0.500
Dy: 0.000 0.500 0.362
Dy: 0.000 0.500 0.638
Dy: 0.500 0.000 0.138
Dy: 0.500 0.000 0.862

Values from the calculation:
Energy of formation, eV/f.u.: 1.9
ΔE to the lowest computed polymorph, eV/f.u.: 1.79
Total energy, eV for the cell shown: -52.8


(3)
VASP calculation (PBE-GGA) on crystalline TaTl2Rh at its relaxed geometry.

Cell: 3.196 3.196 8.576 Å, 90.00 90.00 90.00°
Fractional positions:
Ta: 0.000 0.000 0.000
Tl: 0.000 0.000 0.582
Tl: 0.500 0.500 0.262
Rh: 0.500 0.500 0.845

Values from the calculation:
Energy of formation, eV/f.u.: 0.5
ΔE to the lowest computed polymorph, eV/f.u.: 0.09
Total energy, eV for the cell shown: -23.5


(4)
VASP calculation (PBE-GGA) on crystalline AcPrO2 at its relaxed geometry.

Cell: 3.235 3.235 6.439 Å, 90.00 90.00 90.00°
Fractional positions:
Ac: 0.000 0.000 0.000
Pr: 0.000 0.000 0.500
O: 0.500 0.500 0.251
O: 0.500 0.500 0.749

Values from the calculation:
ΔE to the lowest computed polymorph, eV/f.u.: 2.82
Total energy, eV for the cell shown: -26.9


no.,total moment (μB per formula unit),volume (A^3/atom)
1,0.00,15.43
2,0.00,35.13
3,0.00,21.90
4,0.00,16.85